## V2InO4 (PBE+U)

Data for an optimized crystal structure of V2InO4.

abc: 6.1795 6.1793 6.3065
angles: 119.24 119.50 89.94
Site moments in Bohr magnetons follow the coordinates.
Fractional positions:
O1 0.4090 0.1331 0.2824  -0.01
O2 0.8674 0.1302 0.2799  -0.02
O3 0.3993 0.6233 0.7823  -0.01
O4 0.3826 0.6200 0.2202  -0.02
O5 0.8503 0.5875 0.7202  -0.02
O6 0.8508 0.1267 0.7177  -0.01
O7 0.3998 0.1624 0.7798  -0.02
O8 0.8409 0.6169 0.2177  -0.01
In1 0.2538 0.7538 0.4999  0.04
In2 0.9960 0.9961 0.9999  0.04
V1 0.6250 0.3750 0.7500  2.04
V2 0.6250 0.3750 0.2500  2.54
V3 0.6250 0.8751 0.2500  2.04
V4 0.1251 0.3750 0.7500  2.54

Values from the calculation:
SG: C2/c, No. 15
Mass density (g/cm³): 5.4
Total energy (eV per cell): -99.94